No. 1
Sm6P2RhSe3: optimized geometry, PBE-GGA.

Computed properties:
As for the energy relative to the elements, uncorrected: -1579.9 meV/atom. As for the magnetic moment: 0.00 Bohr magnetons per cell. The calculation puts the total energy at -6.325 eV/atom. Its symmetry is C2/m.

abc: 4.1095 8.4026 9.3034
angles: 103.61 102.76 90.00
Last column: nearest neighbours and their distance in Å.
Fractional positions:
Sm1 0.3383 0.9059 0.6766  1 Rh 2.85, 2 P 2.87, 3 Se 2.99-3.03
Sm2 0.6713 0.5733 0.3426  3 P 2.85, 3 Se 3.00-3.02
Sm3 0.6617 0.0941 0.3234  1 Rh 2.85, 2 P 2.87, 3 Se 2.99-3.03
Sm4 0.0040 0.2402 0.0079  1 P 2.87, 2 Rh 2.87, 3 Se 3.01-3.04
Sm5 0.9960 0.7598 0.9921  1 P 2.87, 2 Rh 2.87, 3 Se 3.01-3.04
Sm6 0.3287 0.4267 0.6574  3 P 2.85, 3 Se 3.00-3.02
P1 0.8333 0.6647 0.6666  6 Sm 2.85-2.87
P2 0.1667 0.3353 0.3334  6 Sm 2.85-2.87
Rh1 0.5000 0.0000 0.0000  6 Sm 2.85-2.87
Se1 0.5000 0.5000 0.0000  6 Sm 3.01-3.02
Se2 0.8313 0.1673 0.6626  6 Sm 2.99-3.04
Se3 0.1687 0.8327 0.3374  6 Sm 2.99-3.04

No. 2
TbGa4Pd2: optimized geometry, PBE-GGA.

Computed properties:
As for the magnetic moment: 0.00 Bohr magnetons per cell. The calculation puts the total energy at -4.435 eV/atom. As for the energy of formation: -0.560 eV/atom. The energy above the lowest structure with this stoichiometry comes out at 127 meV/atom. Its symmetry is P4_2/mnm.

abc: 4.1170 7.8948 7.8948
angles: 90.00 90.00 90.00
Last column: nearest neighbours and their distance in Å.
Fractional positions:
Tb1 0.5000 0.0000 0.0000  6 Pd 3.16-3.18, 8 Ga 3.37
Tb2 0.0000 0.5000 0.5000  6 Pd 3.16-3.18, 8 Ga 3.37
Ga1 0.0000 0.0824 0.3273  3 Pd 2.52-2.62, 1 Ga 2.73
Ga2 0.0000 0.9176 0.6727  3 Pd 2.52-2.62, 1 Ga 2.73
Ga3 0.5000 0.1727 0.5824  3 Pd 2.52-2.62, 1 Ga 2.73
Ga4 0.5000 0.8273 0.4176  3 Pd 2.52-2.62, 1 Ga 2.73
Ga5 0.5000 0.4176 0.8273  3 Pd 2.52-2.62, 1 Ga 2.73
Ga6 0.5000 0.5824 0.1727  3 Pd 2.52-2.62, 1 Ga 2.73
Ga7 0.0000 0.3273 0.0824  3 Pd 2.52-2.62, 1 Ga 2.73
Ga8 0.0000 0.6727 0.9176  3 Pd 2.52-2.62, 1 Ga 2.73
Pd1 0.0000 0.2170 0.7830  6 Ga 2.52-2.62
Pd2 0.0000 0.7830 0.2170  6 Ga 2.52-2.62
Pd3 0.5000 0.7170 0.7170  6 Ga 2.52-2.62
Pd4 0.5000 0.2830 0.2830  6 Ga 2.52-2.62

No. 3
LiAcEuAg: optimized geometry, PBE-GGA.

Computed properties:
As for the magnetic moment: 7.17 Bohr magnetons per cell. The calculation puts the total energy at -4.882 eV/atom. As for the energy of formation: -0.095 eV/atom. Its symmetry is F-43m.

abc: 5.5569 5.5569 5.5569
angles: 60.00 60.00 60.00
Last column: nearest neighbours and their distance in Å.
Fractional positions:
Eu1 0.0000 0.0000 0.0000  4 Li 3.40, 4 Ag 3.40
Ac1 0.5000 0.5000 0.5000  4 Ag 3.40, 4 Li 3.40
Ag1 0.2500 0.2500 0.2500  4 Eu 3.40, 4 Ac 3.40
Li1 0.7500 0.7500 0.7500  4 Eu 3.40, 4 Ac 3.40

Repeat the third record exactly.
LiAcEuAg: optimized geometry, PBE-GGA.

Computed properties:
As for the magnetic moment: 7.17 Bohr magnetons per cell. The calculation puts the total energy at -4.882 eV/atom. As for the energy of formation: -0.095 eV/atom. Its symmetry is F-43m.

abc: 5.5569 5.5569 5.5569
angles: 60.00 60.00 60.00
Last column: nearest neighbours and their distance in Å.
Fractional positions:
Eu1 0.0000 0.0000 0.0000  4 Li 3.40, 4 Ag 3.40
Ac1 0.5000 0.5000 0.5000  4 Ag 3.40, 4 Li 3.40
Ag1 0.2500 0.2500 0.2500  4 Eu 3.40, 4 Ac 3.40
Li1 0.7500 0.7500 0.7500  4 Eu 3.40, 4 Ac 3.40

Q: What is the formula in the first record?
A: Sm6P2RhSe3